Entry 1:
! Dy3AsO6, optimized geometry, DFT GGA-PBE; values from VASP
&SYSTEM
  ibrav = 0, nat = 20, ntyp = 3
/
ATOMIC_SPECIES
Dy 162.50 Dy.upf
As 74.92 As.upf
O 16.00 O.upf
CELL_PARAMETERS angstrom
4.424 -5.555 0.000
4.424 5.555 0.000
0.000 0.000 5.874
ATOMIC_POSITIONS angstrom
Dy 4.424 4.481 2.937
Dy 2.697 1.198 3.159
Dy 2.697 -1.198 0.222
Dy 6.150 1.198 3.159
Dy 6.150 -1.198 0.222
Dy 4.424 -4.481 0.000
As 4.424 1.949 0.505
As 4.424 -1.949 3.442
O 3.050 2.838 1.316
O 1.445 0.145 1.565
O 1.445 -0.145 4.502
O 4.424 2.459 3.703
O 5.797 2.838 1.316
O 4.424 0.411 1.586
O 4.424 -0.411 4.523
O 3.050 -2.838 4.253
O 4.424 -2.459 0.766
O 7.402 0.145 1.565
O 7.402 -0.145 4.502
O 5.797 -2.838 4.253
! total magnetization = 0.0000 μB per atom
! space group = No. 36
! formation energy from raw total energies = -2.96 eV/atom

---

Entry 2:
! DyAsO, optimized geometry, DFT GGA-PBE; values from VASP
&SYSTEM
  ibrav = 0, nat = 12, ntyp = 3
/
ATOMIC_SPECIES
Dy 162.50 Dy.upf
As 74.92 As.upf
O 16.00 O.upf
CELL_PARAMETERS angstrom
4.801 0.000 0.000
0.000 4.056 0.000
0.000 0.000 11.392
ATOMIC_POSITIONS angstrom
Dy 0.931 1.014 1.219
Dy 1.469 3.042 6.915
Dy 3.331 1.014 4.477
Dy 3.870 3.042 10.173
As 0.751 3.042 3.759
As 1.649 1.014 9.455
As 3.152 3.042 1.937
As 4.049 1.014 7.633
O 0.054 3.042 0.817
O 2.346 1.014 6.513
O 2.455 3.042 4.879
O 4.746 1.014 10.575
! total magnetization = 0.0000 μB per atom
! space group = No. 62
! formation energy from raw total energies = -1.87 eV/atom

---

Entry 3:
! DyPaAs2O8, optimized geometry, DFT GGA-PBE; values from VASP
&SYSTEM
  ibrav = 0, nat = 12, ntyp = 4
/
ATOMIC_SPECIES
Dy 162.50 Dy.upf
Pa 231.04 Pa.upf
As 74.92 As.upf
O 16.00 O.upf
CELL_PARAMETERS angstrom
-3.566 3.566 3.362
3.566 -3.566 3.362
3.566 3.566 -3.362
ATOMIC_POSITIONS angstrom
Dy 0.000 0.000 0.000
Pa 3.566 0.000 1.681
As 0.000 0.000 3.362
As 0.000 3.566 1.681
O 2.152 3.566 -1.407
O 1.414 0.000 1.955
O 0.000 2.287 0.528
O 3.566 2.152 1.407
O 0.000 4.845 0.528
O 0.000 1.414 4.769
O -1.279 3.566 2.834
O 1.279 3.566 2.834
! total magnetization = 0.0000 μB per atom
! space group = No. 119
! formation energy from raw total energies = -2.36 eV/atom

---

Entry 4:
! DyAs2PbO8, optimized geometry, DFT GGA-PBE; values from VASP
&SYSTEM
  ibrav = 0, nat = 12, ntyp = 4
/
ATOMIC_SPECIES
Dy 162.50 Dy.upf
As 74.92 As.upf
Pb 207.20 Pb.upf
O 16.00 O.upf
CELL_PARAMETERS angstrom
5.691 0.000 0.000
-2.845 4.928 0.000
0.000 0.000 7.354
ATOMIC_POSITIONS angstrom
Dy 0.000 0.000 0.000
As 0.000 3.286 2.047
As 2.845 1.643 5.308
Pb 0.000 0.000 3.677
O -0.016 1.660 1.507
O -1.400 4.113 1.507
O 0.000 3.286 3.767
O 1.429 0.844 5.847
O 1.416 4.084 1.507
O 2.845 1.643 3.587
O 4.245 0.816 5.847
O 2.862 3.269 5.847
! total magnetization = 0.0847 μB per atom
! space group = No. 147
! formation energy from raw total energies = -1.62 eV/atom

---

Entry 5:
! DyAsPb2O6, optimized geometry, DFT GGA-PBE; values from VASP
&SYSTEM
  ibrav = 0, nat = 20, ntyp = 4
/
ATOMIC_SPECIES
Dy 162.50 Dy.upf
As 74.92 As.upf
Pb 207.20 Pb.upf
O 16.00 O.upf
CELL_PARAMETERS angstrom
2.875 1.660 10.608
-2.875 1.660 10.608
0.000 -3.320 10.608
ATOMIC_POSITIONS angstrom
Dy 0.000 0.000 2.851
Dy 0.000 0.000 28.973
As 0.000 0.000 0.000
As 0.000 0.000 15.912
Pb 0.000 0.000 6.181
Pb 0.000 0.000 11.139
Pb 0.000 0.000 20.686
Pb 0.000 0.000 25.644
O 0.000 -1.807 9.491
O -1.565 0.904 9.491
O -1.363 -0.787 16.949
O 0.000 -1.573 14.875
O -1.363 0.787 14.875
O -1.565 -0.904 22.334
O 1.565 0.904 9.491
O 1.363 -0.787 16.949
O 0.000 1.573 16.949
O 1.363 0.787 14.875
O 1.565 -0.904 22.334
O 0.000 1.807 22.334
! total magnetization = 0.0000 μB per atom
! space group = No. 166
! formation energy from raw total energies = -1.72 eV/atom

---

Entry 6:
! DyAs2PdO8, optimized geometry, DFT GGA-PBE; values from VASP
&SYSTEM
  ibrav = 0, nat = 12, ntyp = 4
/
ATOMIC_SPECIES
Dy 162.50 Dy.upf
As 74.92 As.upf
Pd 106.42 Pd.upf
O 16.00 O.upf
CELL_PARAMETERS angstrom
-3.560 3.560 3.175
3.560 -3.560 3.175
3.560 3.560 -3.175
ATOMIC_POSITIONS angstrom
Dy 0.000 0.000 0.000
As 0.000 0.000 3.175
As 0.000 3.560 1.587
Pd 3.560 0.000 1.587
O 2.277 3.560 -1.164
O 1.283 0.000 2.011
O 0.000 2.266 0.458
O 3.560 2.277 1.164
O 0.000 4.853 0.458
O 0.000 1.283 4.339
O -1.293 3.560 2.717
O 1.293 3.560 2.717
! total magnetization = 0.2341 μB per atom
! space group = No. 119
! formation energy from raw total energies = -1.37 eV/atom

---

Entry 7:
! PmDyAs2O8, optimized geometry, DFT GGA-PBE; values from VASP
&SYSTEM
  ibrav = 0, nat = 12, ntyp = 4
/
ATOMIC_SPECIES
Pm 145.00 Pm.upf
Dy 162.50 Dy.upf
As 74.92 As.upf
O 16.00 O.upf
CELL_PARAMETERS angstrom
-2.548 2.548 5.747
2.548 -2.548 5.747
2.548 2.548 -5.747
ATOMIC_POSITIONS angstrom
Pm 0.000 0.000 0.000
Dy 2.548 0.000 2.874
As 0.000 0.000 5.747
As 0.000 2.548 2.874
O 1.278 -0.716 4.828
O 1.832 1.270 0.919
O -0.760 1.271 1.988
O 1.270 3.264 -0.919
O 1.277 1.788 3.759
O 0.716 1.278 6.667
O 0.760 3.825 1.988
O -1.277 3.308 3.759
! total magnetization = 0.0000 μB per atom
! space group = No. 82
! formation energy from raw total energies = -2.34 eV/atom

---

Entry 8:
! RbDyAs2O6, optimized geometry, DFT GGA-PBE; values from VASP
&SYSTEM
  ibrav = 0, nat = 10, ntyp = 4
/
ATOMIC_SPECIES
Rb 85.47 Rb.upf
Dy 162.50 Dy.upf
As 74.92 As.upf
O 16.00 O.upf
CELL_PARAMETERS angstrom
2.932 1.693 6.175
-2.932 1.693 6.175
0.000 -3.385 6.175
ATOMIC_POSITIONS angstrom
Rb 0.000 0.000 0.000
Dy 0.000 0.000 9.262
As 0.000 0.000 4.882
As 0.000 0.000 13.643
O -1.820 -0.467 7.983
O -0.505 -1.810 10.541
O -1.315 1.343 10.541
O 1.315 -1.343 7.983
O 0.505 1.810 7.983
O 1.820 0.467 10.541
! total magnetization = 0.1992 μB per atom
! space group = No. 148
! formation energy from raw total energies = -1.78 eV/atom

---

Entry 9:
! RbDyAs2O8, optimized geometry, DFT GGA-PBE; values from VASP
&SYSTEM
  ibrav = 0, nat = 12, ntyp = 4
/
ATOMIC_SPECIES
Rb 85.47 Rb.upf
Dy 162.50 Dy.upf
As 74.92 As.upf
O 16.00 O.upf
CELL_PARAMETERS angstrom
5.854 0.000 0.000
-2.927 5.070 0.000
0.000 0.000 8.094
ATOMIC_POSITIONS angstrom
Rb 0.000 0.000 0.000
Dy 0.000 0.000 4.047
As 0.000 3.380 5.962
As 2.927 1.690 2.131
O -0.016 1.757 5.433
O -1.398 4.205 5.433
O 0.000 3.380 7.692
O 1.513 0.892 2.660
O 1.414 4.178 5.433
O 2.927 1.690 0.402
O 4.325 0.865 2.660
O 2.943 3.313 2.660
! total magnetization = 0.1699 μB per atom
! space group = No. 147
! formation energy from raw total energies = -1.60 eV/atom

---

Entry 10:
! Rb3Dy3AsO8, optimized geometry, DFT GGA-PBE; values from VASP
&SYSTEM
  ibrav = 0, nat = 15, ntyp = 4
/
ATOMIC_SPECIES
Rb 85.47 Rb.upf
Dy 162.50 Dy.upf
As 74.92 As.upf
O 16.00 O.upf
CELL_PARAMETERS angstrom
3.403 1.965 6.625
-3.403 1.965 6.625
0.000 -3.930 6.625
ATOMIC_POSITIONS angstrom
Rb -1.702 -0.982 6.625
Rb -1.702 0.982 13.249
Rb 0.000 1.965 6.625
Dy -3.403 0.000 9.937
Dy -1.702 0.982 3.312
Dy 1.702 0.982 3.312
As 0.000 0.000 9.937
O 0.000 0.000 4.445
O -1.536 -0.887 11.014
O 0.000 -1.774 8.860
O -1.536 0.887 8.860
O 1.536 -0.887 11.014
O 0.000 1.774 11.014
O 1.536 0.887 8.860
O 0.000 0.000 15.429
! total magnetization = 0.0000 μB per atom
! space group = No. 166
! formation energy from raw total energies = -2.36 eV/atom

---

Entry 11:
! DyScAs2O8, optimized geometry, DFT GGA-PBE; values from VASP
&SYSTEM
  ibrav = 0, nat = 12, ntyp = 4
/
ATOMIC_SPECIES
Dy 162.50 Dy.upf
Sc 44.96 Sc.upf
As 74.92 As.upf
O 16.00 O.upf
CELL_PARAMETERS angstrom
-2.478 2.478 5.557
2.478 -2.478 5.557
2.478 2.478 -5.557
ATOMIC_POSITIONS angstrom
Dy 0.000 0.000 0.000
Sc 2.478 0.000 2.778
As 0.000 0.000 5.557
As 0.000 2.478 2.778
O 1.266 -0.749 4.644
O 1.729 1.212 0.913
O -0.813 1.205 1.922
O 1.212 3.227 -0.913
O 1.273 1.665 3.635
O 0.749 1.266 6.469
O 0.813 3.751 1.922
O -1.273 3.291 3.635
! total magnetization = 0.0000 μB per atom
! space group = No. 82
! formation energy from raw total energies = -2.27 eV/atom

---

Entry 12:
! SrDy3As4O12, optimized geometry, DFT GGA-PBE; values from VASP
&SYSTEM
  ibrav = 0, nat = 20, ntyp = 4
/
ATOMIC_SPECIES
Sr 87.62 Sr.upf
Dy 162.50 Dy.upf
As 74.92 As.upf
O 16.00 O.upf
CELL_PARAMETERS angstrom
5.697 3.289 2.875
-5.697 3.289 2.875
0.000 -6.579 2.875
ATOMIC_POSITIONS angstrom
Sr 0.000 0.000 0.000
Dy -3.226 -0.991 2.875
Dy -3.226 0.991 5.750
Dy 0.755 3.289 2.875
As -2.354 -4.077 4.312
As 0.000 0.000 4.312
As -2.354 4.077 4.312
As 4.708 0.000 4.312
O -1.318 -1.495 1.751
O -4.908 0.000 4.312
O -0.635 1.889 1.751
O -1.921 0.000 4.312
O 1.953 -0.394 1.751
O 2.454 -4.251 4.312
O 0.961 -1.664 4.312
O -0.635 -1.889 6.874
O 0.961 1.664 4.312
O -1.318 1.495 6.874
O 2.454 4.251 4.312
O 1.953 0.394 6.874
! total magnetization = 0.0000 μB per atom
! space group = No. 155
! formation energy from raw total energies = -1.98 eV/atom